Density functional theory data (PBE-GGA) for a geometry-optimized Ac2Ni3Pt12Rh structure.

Unit cell a=7.9847 b=7.9847 c=20.4214 alpha=90.00 beta=90.00 gamma=120.00
Space group R-3m (No. 166, hexagonal axes)
One atom of each set of equivalent atoms:
Ac1 0.0000 0.0000 0.1244 [6 per cell]
Ni1 0.0000 0.5000 0.0000 [9 per cell]
Pt1 0.0006 0.5003 0.8814 [18 per cell]
Pt2 0.0060 0.5030 0.3721 [18 per cell]
Rh1 0.0000 0.0000 0.5000 [3 per cell]

Computed properties:
* formation energy: 0.071 eV per atom
* Fermi-level density of states: 65.35 states/eV per cell
* V: 1128 Å³ per cell
* magnetization: 4.00 μB per formula unit